# 1
Entry from Alexandria via LeMat-Bulk: crystalline MgHO2 at its relaxed geometry (PBE).

a b c (Å): 2.8870 2.8870 16.3220
angles (deg): 90.00 90.00 120.00
Space group R-3m (No. 166, hexagonal axes)
One atom of each set of equivalent atoms:
Mg 0.0000 0.0000 0.0000
H 0.0000 0.0000 0.5000
O 0.0000 0.0000 0.1128

- total magnetic moment (μB/cell) = 3.02

---

# 2
Entry from Alexandria via LeMat-Bulk: crystalline Mg5H8O9 at its relaxed geometry (PBE).

a b c (Å): 3.1518 3.1518 21.9833
angles (deg): 90.00 90.00 120.00
Space group P-3m1 (No. 164)
One atom of each set of equivalent atoms:
Mg 0.0000 0.0000 0.0000
Mg 0.0000 0.0000 0.2203
Mg 0.3333 0.6667 0.5556
H 0.3333 0.6667 0.1283
H 0.3333 0.6667 0.3528
H 0.3333 0.6667 0.6879
H 0.3333 0.6667 0.9080
O 0.0000 0.0000 0.5000
O 0.3333 0.6667 0.1725
O 0.3333 0.6667 0.3970
O 0.3333 0.6667 0.7320
O 0.3333 0.6667 0.9522

- total magnetic moment (μB/cell) = 0.00

---

# 3
Entry from Alexandria via LeMat-Bulk: crystalline Mg7P6H4O24 at its relaxed geometry (PBE).

a b c (Å): 6.495 7.922 9.541
angles (deg): 104.52 108.52 101.19
Space group P-1 (No. 2)
One atom of each set of equivalent atoms:
Mg 0.000 0.000 0.000
Mg 0.051 0.712 0.514
Mg 0.277 0.808 0.285
Mg 0.385 0.456 0.109
P 0.088 0.582 0.827
P 0.227 0.146 0.777
P 0.413 0.233 0.373
H 0.174 0.873 0.807
H 0.371 0.423 0.563
O 0.020 0.177 0.663
O 0.058 0.545 0.653
O 0.109 0.787 0.902
O 0.125 0.538 0.165
O 0.198 0.932 0.721
O 0.220 0.187 0.944
O 0.265 0.051 0.242
O 0.272 0.300 0.476
O 0.306 0.539 0.914
O 0.377 0.789 0.508
O 0.452 0.243 0.772
O 0.478 0.385 0.309

- total magnetic moment (μB/cell) = 0.00

---

# 4
Entry from Alexandria via LeMat-Bulk: crystalline Mg2PHO5 at its relaxed geometry (PBE).

a b c (Å): 8.364 6.197 7.454
angles (deg): 90.00 90.00 90.00
Space group Pnma (No. 62)
One atom of each set of equivalent atoms:
Mg 0.000 0.000 0.000
Mg 0.176 0.250 0.423
P 0.177 0.750 0.334
H 0.053 0.750 0.734
O 0.022 0.750 0.441
O 0.040 0.250 0.186
O 0.135 0.750 0.128
O 0.222 0.046 0.876

- total magnetic moment (μB/cell) = 0.00

---

# 5
Entry from Alexandria via LeMat-Bulk: crystalline Mg3P2H16O16 at its relaxed geometry (PBE).

a b c (Å): 10.183 13.422 4.690
angles (deg): 90.00 105.52 90.00
Space group C2/m (No. 12)
One atom of each set of equivalent atoms:
Mg 0.000 0.000 0.000
Mg 0.000 0.389 0.000
P 0.186 0.500 0.615
H 0.037 0.219 0.287
H 0.125 0.081 0.639
H 0.125 0.306 0.490
H 0.189 0.124 0.961
O 0.096 0.277 0.286
O 0.099 0.113 0.810
O 0.102 0.500 0.287
O 0.158 0.000 0.381
O 0.158 0.403 0.773

- energy relative to the lowest polymorph listed for this composition (meV/atom) = 6
- total magnetic moment (μB/cell) = 0.00

---

# 6
Entry from Alexandria via LeMat-Bulk: crystalline Mg3P2H44O30 at its relaxed geometry (PBE).

a b c (Å): 6.926 6.981 16.055
angles (deg): 82.21 81.85 60.64
Space group P-1 (No. 2)
One atom of each set of equivalent atoms:
Mg 0.000 0.000 0.000
Mg 0.093 0.652 0.348
P 0.457 0.006 0.241
H 0.044 0.027 0.259
H 0.048 0.365 0.258
H 0.105 0.220 0.862
H 0.142 0.712 0.151
H 0.169 0.141 0.114
H 0.178 0.849 0.622
H 0.182 0.402 0.743
H 0.197 0.956 0.744
H 0.199 0.243 0.020
H 0.213 0.613 0.619
H 0.231 0.288 0.510
H 0.236 0.757 0.480
H 0.302 0.514 0.949
H 0.318 0.849 0.391
H 0.330 0.170 0.600
H 0.359 0.200 0.381
H 0.364 0.804 0.890
H 0.379 0.302 0.898
H 0.422 0.420 0.227
H 0.434 0.646 0.227
H 0.438 0.735 0.986
H 0.456 0.344 0.410
O 0.029 0.780 0.109
O 0.050 0.500 0.710
O 0.063 0.022 0.710
O 0.135 0.155 0.054
O 0.191 0.249 0.570
O 0.215 0.121 0.215
O 0.240 0.764 0.418
O 0.261 0.717 0.589
O 0.313 0.343 0.408
O 0.315 0.771 0.950
O 0.330 0.582 0.236
O 0.349 0.354 0.955
O 0.402 0.224 0.796
O 0.431 0.847 0.790
O 0.451 0.975 0.340

- total magnetic moment (μB/cell) = 0.28

---

# 7
Entry from Alexandria via LeMat-Bulk: crystalline MgPHO2 at its relaxed geometry (PBE).

a b c (Å): 4.041 4.041 2.909
angles (deg): 90.00 90.00 90.00
Space group P4/mmm (No. 123)
One atom of each set of equivalent atoms:
Mg 0.000 0.000 0.000
P 0.500 0.500 0.000
H 0.500 0.500 0.500
O 0.000 0.500 0.500

- energy relative to the lowest polymorph listed for this composition (meV/atom) = 0
- total magnetic moment (μB/cell) = 0.00

---

# 8
Entry from Alexandria via LeMat-Bulk: crystalline MgPHO9 at its relaxed geometry (PBE).

a b c (Å): 5.333 5.378 6.877
angles (deg): 89.74 76.62 71.49
Space group P1 (No. 1)
One atom of each set of equivalent atoms:
Mg 0.000 0.000 0.000
P 0.465 0.426 0.899
H 0.299 0.272 0.991
O 0.035 0.143 0.333
O 0.122 0.287 0.419
O 0.307 0.706 0.001
O 0.500 0.398 0.676
O 0.639 0.680 0.301
O 0.683 0.876 0.228
O 0.730 0.314 0.973
O 0.752 0.857 0.655
O 0.951 0.797 0.731

- energy relative to the lowest polymorph listed for this composition (meV/atom) = 0
- total magnetic moment (μB/cell) = 5.95

---

# 9
Entry from Alexandria via LeMat-Bulk: crystalline MgP2H16O10 at its relaxed geometry (PBE).

a b c (Å): 10.420 10.420 20.567
angles (deg): 90.00 90.00 90.00
Space group I4_1/acd (No. 142, origin choice 2)
One atom of each set of equivalent atoms:
Mg 0.000 0.250 0.125
P 0.235 0.000 0.250
H 0.055 0.194 0.254
H 0.056 0.004 0.904
H 0.056 0.006 0.349
H 0.173 0.068 0.462
O 0.000 0.250 0.023
O 0.003 0.050 0.122
O 0.157 0.087 0.295

- total magnetic moment (μB/cell) = 0.00

---

Number 1: V 9.82 A^3/atom, total energy -3.351 eV per atom. Number 2: V 8.60 A^3/atom, total energy -5.434 eV per atom. Number 3: V 10.49 A^3/atom, total energy -6.654 eV per atom. Number 4: V 10.73 A^3/atom, total energy -6.477 eV per atom. Number 5: V 8.35 A^3/atom, total energy -5.620 eV per atom. Number 6: V 8.45 A^3/atom, total energy -5.266 eV per atom. Number 7: V 9.50 A^3/atom, total energy -4.218 eV per atom. Number 8: V 15.12 A^3/atom, total energy -5.390 eV per atom. Number 9: V 9.62 A^3/atom, total energy -5.178 eV per atom.